The following is a PBE with a Hubbard U calculation of a geometry-optimized PmSnMoO6 structure, from Alexandria via LeMat-Bulk.

```
PmSnMoO6
1.0
4.952 0.000 0.000
0.000 4.952 0.000
0.000 0.000 10.012
Pm Sn Mo O
2 2 2 12
Direct
0.000 0.000 0.000
0.500 0.500 0.500
0.000 0.000 0.663
0.500 0.500 0.163
0.000 0.000 0.332
0.500 0.500 0.832
0.176 0.176 0.490
0.205 0.205 0.180
0.222 0.222 0.814
0.278 0.722 0.314
0.295 0.705 0.680
0.324 0.676 0.990
0.676 0.324 0.990
0.705 0.295 0.680
0.722 0.278 0.314
0.778 0.778 0.814
0.795 0.795 0.180
0.824 0.824 0.490
```

Values from the calculation:
DFT total energy (eV/atom): -7.169
SG: P4_2nm
DOS at the Fermi energy (states/eV per cell): 0.00
Total magnetic moment (μB per formula unit): 1.00